(1)
The following is a PBE calculation of crystalline ZnSbMo4N2 at its relaxed geometry, from OQMD via LeMat-Bulk.

Geometry as CIF:
```
data_ZnSbMo4N2
_cell_length_a 3.208
_cell_length_b 3.208
_cell_length_c 12.776
_cell_angle_alpha 90.00
_cell_angle_beta 90.00
_cell_angle_gamma 120.00
_space_group_name_H-M_alt 'P 1'
_space_group_IT_number 1
_space_group_name_Hall 'P 1'
loop_
_atom_site_label
_atom_site_type_symbol
_atom_site_fract_x
_atom_site_fract_y
_atom_site_fract_z
Zn1 Zn 0.000 0.000 0.000
Sb1 Sb 0.667 0.333 0.500
Mo1 Mo 0.000 0.000 0.324
Mo2 Mo 0.000 0.000 0.676
Mo3 Mo 0.667 0.333 0.163
Mo4 Mo 0.667 0.333 0.837
N1 N 0.333 0.667 0.246
N2 N 0.333 0.667 0.754
```

Calculated values
space group = P-6m2, No. 187

---

(2)
The following is a PBE calculation of crystalline Tb3Cl2 at its relaxed geometry, from OQMD via LeMat-Bulk.

Geometry as CIF:
```
data_Tb3Cl2
_cell_length_a 7.307
_cell_length_b 7.307
_cell_length_c 7.307
_cell_angle_alpha 56.08
_cell_angle_beta 56.08
_cell_angle_gamma 56.08
_space_group_name_H-M_alt 'P 1'
_space_group_IT_number 1
_space_group_name_Hall 'P 1'
loop_
_atom_site_label
_atom_site_type_symbol
_atom_site_fract_x
_atom_site_fract_y
_atom_site_fract_z
Tb1 Tb 0.091 0.750 0.409
Tb2 Tb 0.250 0.591 0.909
Tb3 Tb 0.409 0.091 0.750
Tb4 Tb 0.591 0.909 0.250
Tb5 Tb 0.750 0.409 0.091
Tb6 Tb 0.909 0.250 0.591
Cl1 Cl 0.166 0.166 0.166
Cl2 Cl 0.334 0.334 0.334
Cl3 Cl 0.666 0.666 0.666
Cl4 Cl 0.834 0.834 0.834
```

Calculated values
space group = R-3c, No. 167

---

(3)
The following is a PBE calculation of crystalline NpSe at its relaxed geometry, from OQMD via LeMat-Bulk.

Geometry as CIF:
```
data_NpSe
_cell_length_a 5.796
_cell_length_b 5.796
_cell_length_c 5.796
_cell_angle_alpha 90.00
_cell_angle_beta 90.00
_cell_angle_gamma 90.00
_space_group_name_H-M_alt 'P 1'
_space_group_IT_number 1
_space_group_name_Hall 'P 1'
loop_
_atom_site_label
_atom_site_type_symbol
_atom_site_fract_x
_atom_site_fract_y
_atom_site_fract_z
Np1 Np 0.000 0.000 0.000
Np2 Np 0.000 0.500 0.500
Np3 Np 0.500 0.000 0.500
Np4 Np 0.500 0.500 0.000
Se1 Se 0.000 0.000 0.500
Se2 Se 0.000 0.500 0.000
Se3 Se 0.500 0.000 0.000
Se4 Se 0.500 0.500 0.500
```

Calculated values
space group = Fm-3m, No. 225

---

(4)
The following is a PBE calculation of crystalline NdAsN2O at its relaxed geometry, from OQMD via LeMat-Bulk.

Geometry as CIF:
```
data_NdAsN2O
_cell_length_a 7.555
_cell_length_b 7.941
_cell_length_c 7.953
_cell_angle_alpha 90.53
_cell_angle_beta 90.05
_cell_angle_gamma 90.40
_space_group_name_H-M_alt 'P 1'
_space_group_IT_number 1
_space_group_name_Hall 'P 1'
loop_
_atom_site_label
_atom_site_type_symbol
_atom_site_fract_x
_atom_site_fract_y
_atom_site_fract_z
Nd1 Nd 0.000 0.000 0.000
Nd2 Nd 0.004 0.976 0.495
Nd3 Nd 0.458 0.480 0.024
Nd4 Nd 0.469 0.497 0.559
Nd5 Nd 0.498 0.982 0.474
Nd6 Nd 0.508 0.999 0.008
Nd7 Nd 0.962 0.503 0.537
Nd8 Nd 0.966 0.480 0.031
As1 As 0.231 0.747 0.798
As2 As 0.234 0.250 0.298
As3 As 0.236 0.711 0.260
As4 As 0.238 0.209 0.757
As5 As 0.728 0.270 0.275
As6 As 0.730 0.768 0.772
As7 As 0.732 0.229 0.735
As8 As 0.735 0.732 0.234
N1 N 0.188 0.703 0.023
N2 N 0.271 0.983 0.806
N3 N 0.274 0.199 0.521
N4 N 0.285 0.486 0.302
N5 N 0.483 0.201 0.232
N6 N 0.483 0.278 0.800
N7 N 0.483 0.779 0.225
N8 N 0.484 0.700 0.807
N9 N 0.682 0.994 0.730
N10 N 0.692 0.279 0.511
N11 N 0.695 0.496 0.227
N12 N 0.779 0.775 0.009
N13 N 0.982 0.187 0.732
N14 N 0.982 0.696 0.299
N15 N 0.984 0.294 0.298
N16 N 0.984 0.784 0.733
O1 O 0.195 0.020 0.235
O2 O 0.201 0.278 0.988
O3 O 0.201 0.515 0.731
O4 O 0.262 0.779 0.489
O5 O 0.705 0.701 0.543
O6 O 0.765 0.202 0.043
O7 O 0.766 0.965 0.300
O8 O 0.770 0.460 0.797
```

Calculated values
space group = P1, No. 1

---

(5)
The following is a PBE calculation of crystalline BaLaSb2Pd2 at its relaxed geometry, from OQMD via LeMat-Bulk.

Geometry as CIF:
```
data_BaLaSb2Pd2
_cell_length_a 4.619
_cell_length_b 4.619
_cell_length_c 9.117
_cell_angle_alpha 90.00
_cell_angle_beta 90.00
_cell_angle_gamma 120.00
_space_group_name_H-M_alt 'P 1'
_space_group_IT_number 1
_space_group_name_Hall 'P 1'
loop_
_atom_site_label
_atom_site_type_symbol
_atom_site_fract_x
_atom_site_fract_y
_atom_site_fract_z
Ba1 Ba 0.000 0.000 0.000
La1 La 0.000 0.000 0.500
Sb1 Sb 0.333 0.667 0.732
Sb2 Sb 0.667 0.333 0.268
Pd1 Pd 0.333 0.667 0.276
Pd2 Pd 0.667 0.333 0.724
```

Calculated values
space group = P-3m1, No. 164

---

(6)
The following is a PBE calculation of crystalline Ba2NdInSe5 at its relaxed geometry, from OQMD via LeMat-Bulk.

Geometry as CIF:
```
data_Ba2NdInSe5
_cell_length_a 9.855
_cell_length_b 9.855
_cell_length_c 13.491
_cell_angle_alpha 90.00
_cell_angle_beta 90.00
_cell_angle_gamma 154.40
_space_group_name_H-M_alt 'P 1'
_space_group_IT_number 1
_space_group_name_Hall 'P 1'
loop_
_atom_site_label
_atom_site_type_symbol
_atom_site_fract_x
_atom_site_fract_y
_atom_site_fract_z
Ba1 Ba 0.116 0.884 0.500
Ba2 Ba 0.130 0.870 0.866
Ba3 Ba 0.870 0.130 0.366
Ba4 Ba 0.884 0.116 0.000
Nd1 Nd 0.211 0.789 0.164
Nd2 Nd 0.789 0.211 0.664
In1 In 0.449 0.551 0.745
In2 In 0.551 0.449 0.245
Se1 Se 0.047 0.953 0.132
Se2 Se 0.291 0.709 0.519
Se3 Se 0.315 0.685 0.816
Se4 Se 0.360 0.640 0.181
Se5 Se 0.495 0.505 0.417
Se6 Se 0.505 0.495 0.917
Se7 Se 0.640 0.360 0.681
Se8 Se 0.685 0.315 0.316
Se9 Se 0.709 0.291 0.019
Se10 Se 0.953 0.047 0.632
```

Calculated values
space group = Cmc2_1, No. 36

---

(7)
The following is a PBE calculation of crystalline LaHgTeO at its relaxed geometry, from OQMD via LeMat-Bulk.

Geometry as CIF:
```
data_LaHgTeO
_cell_length_a 9.389
_cell_length_b 6.455
_cell_length_c 6.324
_cell_angle_alpha 90.00
_cell_angle_beta 94.23
_cell_angle_gamma 90.00
_space_group_name_H-M_alt 'P 1'
_space_group_IT_number 1
_space_group_name_Hall 'P 1'
loop_
_atom_site_label
_atom_site_type_symbol
_atom_site_fract_x
_atom_site_fract_y
_atom_site_fract_z
La1 La 0.101 0.003 0.264
La2 La 0.101 0.497 0.764
La3 La 0.899 0.503 0.236
La4 La 0.899 0.997 0.736
Hg1 Hg 0.373 0.713 0.504
Hg2 Hg 0.373 0.787 0.004
Hg3 Hg 0.627 0.213 0.996
Hg4 Hg 0.627 0.287 0.496
Te1 Te 0.339 0.142 0.700
Te2 Te 0.339 0.358 0.200
Te3 Te 0.661 0.642 0.800
Te4 Te 0.661 0.858 0.300
O1 O 0.011 0.747 0.507
O2 O 0.011 0.753 0.007
O3 O 0.989 0.247 0.993
O4 O 0.989 0.253 0.493
```

Calculated values
ΔE to the lowest computed polymorph = 0.078 eV per atom
space group = P2_1/c, No. 14

---

(8)
The following is a PBE calculation of crystalline Co3Pd at its relaxed geometry, from OQMD via LeMat-Bulk.

Geometry as CIF:
```
data_Co3Pd
_cell_length_a 5.795
_cell_length_b 5.795
_cell_length_c 5.795
_cell_angle_alpha 90.00
_cell_angle_beta 90.00
_cell_angle_gamma 90.00
_space_group_name_H-M_alt 'P 1'
_space_group_IT_number 1
_space_group_name_Hall 'P 1'
loop_
_atom_site_label
_atom_site_type_symbol
_atom_site_fract_x
_atom_site_fract_y
_atom_site_fract_z
Co1 Co 0.000 0.000 0.000
Co2 Co 0.000 0.500 0.500
Co3 Co 0.250 0.250 0.250
Co4 Co 0.250 0.250 0.750
Co5 Co 0.250 0.750 0.250
Co6 Co 0.250 0.750 0.750
Co7 Co 0.500 0.000 0.500
Co8 Co 0.500 0.500 0.000
Co9 Co 0.750 0.250 0.250
Co10 Co 0.750 0.250 0.750
Co11 Co 0.750 0.750 0.250
Co12 Co 0.750 0.750 0.750
Pd1 Pd 0.000 0.000 0.500
Pd2 Pd 0.000 0.500 0.000
Pd3 Pd 0.500 0.000 0.000
Pd4 Pd 0.500 0.500 0.500
```

Calculated values
space group = Fm-3m, No. 225
ΔE_f = 484 meV/atom

---

(9)
The following is a PBE calculation of crystalline LaGa2Hg at its relaxed geometry, from OQMD via LeMat-Bulk.

Geometry as CIF:
```
data_LaGa2Hg
_cell_length_a 4.672
_cell_length_b 11.837
_cell_length_c 6.792
_cell_angle_alpha 90.00
_cell_angle_beta 90.00
_cell_angle_gamma 90.00
_space_group_name_H-M_alt 'P 1'
_space_group_IT_number 1
_space_group_name_Hall 'P 1'
loop_
_atom_site_label
_atom_site_type_symbol
_atom_site_fract_x
_atom_site_fract_y
_atom_site_fract_z
La1 La 0.250 0.169 0.000
La2 La 0.250 0.669 0.500
La3 La 0.750 0.331 0.500
La4 La 0.750 0.831 0.000
Ga1 Ga 0.250 0.147 0.520
Ga2 Ga 0.250 0.430 0.229
Ga3 Ga 0.250 0.647 0.020
Ga4 Ga 0.250 0.930 0.729
Ga5 Ga 0.750 0.070 0.729
Ga6 Ga 0.750 0.353 0.020
Ga7 Ga 0.750 0.570 0.229
Ga8 Ga 0.750 0.853 0.520
Hg1 Hg 0.250 0.419 0.783
Hg2 Hg 0.250 0.919 0.283
Hg3 Hg 0.750 0.081 0.283
Hg4 Hg 0.750 0.581 0.783
```

Calculated values
space group = Ama2, No. 40

---

(10)
The following is a PBE calculation of crystalline LiLaOsW at its relaxed geometry, from OQMD via LeMat-Bulk.

Geometry as CIF:
```
data_LiLaOsW
_cell_length_a 6.672
_cell_length_b 6.672
_cell_length_c 6.672
_cell_angle_alpha 90.00
_cell_angle_beta 90.00
_cell_angle_gamma 90.00
_space_group_name_H-M_alt 'P 1'
_space_group_IT_number 1
_space_group_name_Hall 'P 1'
loop_
_atom_site_label
_atom_site_type_symbol
_atom_site_fract_x
_atom_site_fract_y
_atom_site_fract_z
Li1 Li 0.000 0.000 0.000
Li2 Li 0.000 0.500 0.500
Li3 Li 0.500 0.000 0.500
Li4 Li 0.500 0.500 0.000
La1 La 0.250 0.250 0.750
La2 La 0.250 0.750 0.250
La3 La 0.750 0.250 0.250
La4 La 0.750 0.750 0.750
Os1 Os 0.000 0.000 0.500
Os2 Os 0.000 0.500 0.000
Os3 Os 0.500 0.000 0.000
Os4 Os 0.500 0.500 0.500
W1 W 0.250 0.250 0.250
W2 W 0.250 0.750 0.750
W3 W 0.750 0.250 0.750
W4 W 0.750 0.750 0.250
```

Calculated values
ΔE to the lowest computed polymorph = 0.094 eV per atom
space group = F-43m, No. 216

---

(11)
The following is a PBE calculation of crystalline DyTlCdTe3 at its relaxed geometry, from OQMD via LeMat-Bulk.

Geometry as CIF:
```
data_DyTlCdTe3
_cell_length_a 12.972
_cell_length_b 4.560
_cell_length_c 13.517
_cell_angle_alpha 90.00
_cell_angle_beta 90.00
_cell_angle_gamma 90.00
_space_group_name_H-M_alt 'P 1'
_space_group_IT_number 1
_space_group_name_Hall 'P 1'
loop_
_atom_site_label
_atom_site_type_symbol
_atom_site_fract_x
_atom_site_fract_y
_atom_site_fract_z
Dy1 Dy 0.030 0.250 0.176
Dy2 Dy 0.470 0.750 0.676
Dy3 Dy 0.530 0.250 0.324
Dy4 Dy 0.970 0.750 0.824
Tl1 Tl 0.168 0.250 0.492
Tl2 Tl 0.332 0.750 0.992
Tl3 Tl 0.668 0.250 0.008
Tl4 Tl 0.832 0.750 0.508
Cd1 Cd 0.247 0.750 0.298
Cd2 Cd 0.253 0.250 0.798
Cd3 Cd 0.747 0.750 0.202
Cd4 Cd 0.753 0.250 0.702
Te1 Te 0.031 0.750 0.339
Te2 Te 0.089 0.250 0.935
Te3 Te 0.233 0.750 0.671
Te4 Te 0.267 0.250 0.171
Te5 Te 0.411 0.750 0.435
Te6 Te 0.469 0.250 0.839
Te7 Te 0.531 0.750 0.161
Te8 Te 0.589 0.250 0.565
Te9 Te 0.733 0.750 0.829
Te10 Te 0.767 0.250 0.329
Te11 Te 0.911 0.750 0.065
Te12 Te 0.969 0.250 0.661
```

Calculated values
ΔE to the lowest computed polymorph = 0.060 eV per atom
space group = Pnma, No. 62

---

no.,mass density (g/cm3),energy (Ry/atom)
1,8.7,-0.5975
2,7.2,-0.3305
3,10.8,-0.6816
4,7.3,-0.5135
5,7.2,-0.3886
6,5.4,-0.3546
7,8.4,-0.3664
8,9.7,-0.4513
9,8.5,-0.2431
10,11.6,-0.5308
11,7.2,-0.2674